Record 1
The following is a DFT calculation (PBE) of crystalline LaPmSi at its relaxed geometry.

## Properties
- Excess energy over the best structure of this formula in the dataset: 3.5 kJ/mol of atoms
- Energy relative to the elements, uncorrected: -0.49 eV/atom
- Raw total energy: -0.2029 Ha/atom
- Spin magnetization: 0.17 Bohr magnetons per cell
- Symmetry: P-1, No. 2
- V: 28.89 Å³ per atom

Cell and atoms, written as POSCAR:
```
LaPmSi
1.0
4.275 -0.754 -0.095
-1.097 6.138 0.680
-1.991 0.350 6.866
La Pm Si
2 2 2
direct
0.014 0.585 0.406 La
0.846 0.966 0.687 La
0.608 0.056 0.119 Pm
0.253 0.495 0.974 Pm
0.549 0.358 0.703 Si
0.311 0.192 0.390 Si
```

---

Record 2
The following is a DFT calculation (PBE) of crystalline LaPm12Si7 at its relaxed geometry.

## Properties
- Energy relative to the elements, uncorrected: -0.40 eV/atom
- Raw total energy: -0.1984 Ha/atom
- Spin magnetization: 0.00 Bohr magnetons per cell
- Symmetry: R-3m, No. 166
- V: 28.12 Å³ per atom

Cell and atoms, written as POSCAR:
```
LaPm12Si7
1.0
9.120 -0.384 -0.576
-2.904 8.654 -0.576
-2.904 -3.864 7.765
La Pm Si
1 12 7
direct
0.000 0.000 0.000 La
0.000 0.267 0.733 Pm
0.733 0.267 0.000 Pm
0.470 0.167 0.470 Pm
0.833 0.530 0.530 Pm
0.267 0.000 0.733 Pm
0.530 0.530 0.833 Pm
0.470 0.470 0.167 Pm
0.733 0.000 0.267 Pm
0.167 0.470 0.470 Pm
0.530 0.833 0.530 Pm
0.267 0.733 0.000 Pm
0.000 0.733 0.267 Pm
0.867 0.532 0.867 Si
0.468 0.133 0.133 Si
0.133 0.133 0.468 Si
0.500 0.500 0.500 Si
0.867 0.867 0.532 Si
0.532 0.867 0.867 Si
0.133 0.468 0.133 Si
```

---

Record 3
The following is a DFT calculation (PBE) of crystalline LaPm2Si4 at its relaxed geometry.

## Properties
- Energy relative to the elements, uncorrected: -0.77 eV/atom
- Raw total energy: -0.2178 Ha/atom
- Spin magnetization: 0.00 Bohr magnetons per cell
- Symmetry: Immm, No. 71
- V: 22.61 Å³ per atom

Cell and atoms, written as POSCAR:
```
LaPm2Si4
1.0
3.854 0.000 -0.879
-0.232 4.357 -1.018
0.121 -0.096 9.422
La Pm Si
1 2 4
direct
0.500 0.000 0.000 La
0.818 0.818 0.636 Pm
0.182 0.182 0.364 Pm
0.647 0.647 0.294 Si
0.353 0.353 0.706 Si
0.067 0.567 0.133 Si
0.933 0.433 0.867 Si
```

---

Record 4
The following is a DFT calculation (PBE) of crystalline La2PmSi2 at its relaxed geometry.

## Properties
- Excess energy over the best structure of this formula in the dataset: 3.2 kJ/mol of atoms
- Energy relative to the elements, uncorrected: -0.62 eV/atom
- Raw total energy: -0.2098 Ha/atom
- Spin magnetization: 0.00 Bohr magnetons per cell
- Symmetry: Immm, No. 71
- V: 27.39 Å³ per atom

Cell and atoms, written as POSCAR:
```
La2PmSi2
1.0
4.481 0.000 0.000
2.240 5.702 0.398
2.240 1.639 5.475
La Pm Si
2 1 2
direct
0.795 0.705 0.705 La
0.205 0.295 0.295 La
0.000 0.000 0.000 Pm
0.500 0.310 0.690 Si
0.500 0.690 0.310 Si
```

---

Record 5
The following is a DFT calculation (PBE) of crystalline LaPm2Si2 at its relaxed geometry.

## Properties
- Excess energy over the best structure of this formula in the dataset: 0.0 kJ/mol of atoms
- Energy relative to the elements, uncorrected: -0.62 eV/atom
- Raw total energy: -0.2085 Ha/atom
- Spin magnetization: 0.00 Bohr magnetons per cell
- Symmetry: P4/mbm, No. 127
- V: 26.17 Å³ per atom

Cell and atoms, written as POSCAR:
```
LaPm2Si2
1.0
4.260 0.000 0.000
0.000 7.837 0.000
0.000 0.000 7.837
La Pm Si
2 4 4
direct
0.000 0.000 0.000 La
0.000 0.500 0.500 La
0.500 0.176 0.676 Pm
0.500 0.676 0.824 Pm
0.500 0.824 0.324 Pm
0.500 0.324 0.176 Pm
0.000 0.390 0.890 Si
0.000 0.890 0.610 Si
0.000 0.610 0.110 Si
0.000 0.110 0.390 Si
```

---

Record 6
The following is a DFT calculation (PBE) of crystalline LaPmSi at its relaxed geometry.

## Properties
- Excess energy over the best structure of this formula in the dataset: 12.8 kJ/mol of atoms
- Energy relative to the elements, uncorrected: -0.39 eV/atom
- Raw total energy: -0.1993 Ha/atom
- Spin magnetization: 1.26 Bohr magnetons per cell
- Symmetry: P6_3/mmc, No. 194
- V: 27.00 Å³ per atom

Cell and atoms, written as POSCAR:
```
LaPmSi
1.0
6.688 0.000 0.000
0.000 5.284 -0.208
0.000 -2.459 4.682
La Pm Si
2 2 2
direct
0.250 0.667 0.333 La
0.750 0.333 0.667 La
0.500 0.000 0.000 Pm
0.000 0.000 0.000 Pm
0.250 0.333 0.667 Si
0.750 0.667 0.333 Si
```

---

Record 7
The following is a DFT calculation (PBE) of crystalline LaPmSi at its relaxed geometry.

## Properties
- Excess energy over the best structure of this formula in the dataset: 0.0 kJ/mol of atoms
- Energy relative to the elements, uncorrected: -0.52 eV/atom
- Raw total energy: -0.2042 Ha/atom
- Spin magnetization: 1.12 Bohr magnetons per cell
- Symmetry: P-62m, No. 189
- V: 27.86 Å³ per atom

Cell and atoms, written as POSCAR:
```
LaPmSi
1.0
4.388 0.000 0.000
0.000 7.035 -4.062
0.000 0.000 8.123
La Pm Si
3 3 3
direct
0.500 0.411 0.411 La
0.500 0.000 0.589 La
0.500 0.589 0.000 La
0.000 0.738 0.738 Pm
0.000 0.000 0.262 Pm
0.000 0.262 0.000 Pm
0.000 0.333 0.667 Si
0.000 0.667 0.333 Si
0.500 0.000 0.000 Si
```

---

Record 8
The following is a DFT calculation (PBE) of crystalline La2PmSi2 at its relaxed geometry.

## Properties
- Excess energy over the best structure of this formula in the dataset: 0.0 kJ/mol of atoms
- Energy relative to the elements, uncorrected: -0.65 eV/atom
- Raw total energy: -0.2110 Ha/atom
- Spin magnetization: 0.00 Bohr magnetons per cell
- Symmetry: P4/mbm, No. 127
- V: 27.38 Å³ per atom

Cell and atoms, written as POSCAR:
```
La2PmSi2
1.0
-1.868 3.351 2.316
-3.920 -5.186 4.341
5.926 -0.217 5.093
La Pm Si
4 2 4
direct
0.500 0.177 0.677 La
0.500 0.677 0.823 La
0.500 0.823 0.323 La
0.500 0.323 0.177 La
0.000 0.000 0.000 Pm
0.000 0.500 0.500 Pm
0.000 0.389 0.889 Si
0.000 0.889 0.611 Si
0.000 0.611 0.111 Si
0.000 0.111 0.389 Si
```

---

Record 9
The following is a DFT calculation (PBE) of crystalline LaPm2Si at its relaxed geometry.

## Properties
- Excess energy over the best structure of this formula in the dataset: 15.3 kJ/mol of atoms
- Energy relative to the elements, uncorrected: -0.21 eV/atom
- Raw total energy: -0.1901 Ha/atom
- Spin magnetization: 0.41 Bohr magnetons per cell
- Symmetry: Cmcm, No. 63
- V: 30.26 Å³ per atom

Cell and atoms, written as POSCAR:
```
LaPm2Si
1.0
4.108 0.000 0.000
0.000 4.827 0.000
-2.054 0.000 12.208
La Pm Si
2 4 2
direct
0.381 0.250 0.762 La
0.619 0.750 0.238 La
0.764 0.250 0.527 Pm
0.236 0.750 0.473 Pm
0.043 0.250 0.087 Pm
0.957 0.750 0.913 Pm
0.163 0.250 0.327 Si
0.837 0.750 0.673 Si
```

---

Record 10
The following is a DFT calculation (PBE) of crystalline LaPm2Si at its relaxed geometry.

## Properties
- Excess energy over the best structure of this formula in the dataset: 18.7 kJ/mol of atoms
- Energy relative to the elements, uncorrected: -0.18 eV/atom
- Raw total energy: -0.1888 Ha/atom
- Spin magnetization: 0.00 Bohr magnetons per cell
- Symmetry: R3m, No. 160
- V: 33.47 Å³ per atom

Cell and atoms, written as POSCAR:
```
LaPm2Si
1.0
4.072 0.000 0.000
2.036 3.526 0.000
2.036 1.175 9.324
La Pm Si
1 2 1
direct
0.502 0.502 0.493 La
0.059 0.059 0.822 Pm
0.273 0.273 0.181 Pm
0.665 0.665 0.004 Si
```

---

Record 11
The following is a DFT calculation (PBE) of crystalline LaPm4Si2 at its relaxed geometry.

## Properties
- Energy relative to the elements, uncorrected: -0.37 eV/atom
- Raw total energy: -0.1960 Ha/atom
- Spin magnetization: 0.00 Bohr magnetons per cell
- Symmetry: P4_2/mnm, No. 136
- V: 29.16 Å³ per atom

Cell and atoms, written as POSCAR:
```
LaPm4Si2
1.0
4.127 0.000 0.000
0.000 9.946 0.000
0.000 0.000 9.946
La Pm Si
2 8 4
direct
0.500 0.000 0.000 La
0.000 0.500 0.500 La
0.000 0.103 0.330 Pm
0.000 0.897 0.670 Pm
0.500 0.170 0.603 Pm
0.500 0.830 0.397 Pm
0.500 0.397 0.830 Pm
0.500 0.603 0.170 Pm
0.000 0.330 0.103 Pm
0.000 0.670 0.897 Pm
0.000 0.169 0.831 Si
0.000 0.831 0.169 Si
0.500 0.669 0.669 Si
0.500 0.331 0.331 Si
```

---

Record 12
The following is a DFT calculation (PBE) of crystalline LaPm2Si at its relaxed geometry.

## Properties
- Excess energy over the best structure of this formula in the dataset: 33.0 kJ/mol of atoms
- Energy relative to the elements, uncorrected: -0.03 eV/atom
- Raw total energy: -0.1834 Ha/atom
- Spin magnetization: 0.00 Bohr magnetons per cell
- Symmetry: R-3m, No. 166
- V: 33.15 Å³ per atom

Cell and atoms, written as POSCAR:
```
LaPm2Si
1.0
3.725 0.000 0.000
1.862 3.226 0.000
1.862 1.075 11.037
Si La Pm
1 1 2
direct
0.500 0.500 0.500 Si
0.000 0.000 0.000 La
0.109 0.109 0.674 Pm
0.891 0.891 0.326 Pm
```